*a*
Density functional theory data (GGA-PBE) for a geometry-optimized TbNd2Co structure.

space group	P2_1/m

a b c (Å): 3.752 6.273 9.873
angles (deg): 90.00 90.00 107.39
Element x y z (fractional)
Tb  0.408  0.816  0.250
Tb  0.592  0.184  0.750
Nd  0.137  0.276  0.427
Nd  0.863  0.724  0.573
Nd  0.863  0.724  0.927
Nd  0.137  0.276  0.073
Co  0.738  0.475  0.250
Co  0.262  0.525  0.750

***

*b*
Density functional theory data (GGA-PBE) for a geometry-optimized TbNd2Co structure.

space group	P4/mmm

a b c (Å): 3.529 3.529 8.924
angles (deg): 90.00 90.00 90.00
Element x y z (fractional)
Nd  0.000  0.000  0.810
Nd  0.000  0.000  0.190
Tb  0.500  0.500  0.500
Co  0.500  0.500  0.000

***

The relative energies come out as *a* 0; *b* 137, with values in meV/atom.

***

*a*
Density functional theory data (GGA-PBE) for a geometry-optimized TbNd2Co structure.

space group	R3m

a b c (Å): 3.841 3.841 9.487
angles (deg): 78.32 78.32 60.00
Element x y z (fractional)
Tb  0.501  0.501  0.498
Nd  0.058  0.058  0.826
Nd  0.275  0.275  0.175
Co  0.666  0.666  0.001

***

*b*
Density functional theory data (GGA-PBE) for a geometry-optimized TbNd2Co structure.

space group	R-3m

a b c (Å): 3.665 3.665 10.691
angles (deg): 80.13 80.13 60.00
Element x y z (fractional)
Nd  0.112  0.112  0.664
Nd  0.888  0.888  0.336
Tb  0.000  0.000  0.000
Co  0.500  0.500  0.500

***

*c*
Density functional theory data (GGA-PBE) for a geometry-optimized TbNd2Co structure.

space group	Pnma

a b c (Å): 6.302 7.077 9.895
angles (deg): 90.00 90.00 90.00
Element x y z (fractional)
Tb  0.655  0.544  0.250
Tb  0.845  0.044  0.250
Tb  0.345  0.456  0.750
Tb  0.155  0.956  0.750
Nd  0.176  0.674  0.070
Nd  0.324  0.174  0.430
Nd  0.824  0.326  0.570
Nd  0.676  0.826  0.930
Nd  0.824  0.326  0.930
Nd  0.676  0.826  0.570
Nd  0.176  0.674  0.430
Nd  0.324  0.174  0.070
Co  0.051  0.383  0.250
Co  0.449  0.883  0.250
Co  0.949  0.617  0.750
Co  0.551  0.117  0.750

***

The relative energies come out as *a* 164; *b* 321; *c* 0, with values in meV/atom.

***

*a*
Density functional theory data (GGA-PBE) for a geometry-optimized Tb3NdCo2 structure.

space group	C2/m

a b c (Å): 3.754 8.532 10.034
angles (deg): 79.35 79.22 77.29
Element x y z (fractional)
Tb  0.158  0.934  0.750
Tb  0.842  0.066  0.250
Tb  0.416  0.222  0.947
Tb  0.584  0.778  0.053
Tb  0.586  0.268  0.560
Tb  0.414  0.732  0.440
Nd  0.844  0.565  0.746
Nd  0.156  0.435  0.254
Co  0.236  0.578  0.951
Co  0.764  0.422  0.049
Co  0.766  0.921  0.547
Co  0.234  0.079  0.453

***

*b*
Density functional theory data (GGA-PBE) for a geometry-optimized Tb3NdCo2 structure.

space group	C2/m

a b c (Å): 5.000 9.067 8.157
angles (deg): 124.66 90.00 106.01
Element x y z (fractional)
Tb  0.319  0.639  0.635
Tb  0.932  0.864  0.592
Tb  0.634  0.269  0.762
Tb  0.366  0.731  0.238
Tb  0.068  0.136  0.408
Tb  0.681  0.361  0.365
Nd  0.872  0.743  0.958
Nd  0.128  0.257  0.042
Co  0.505  0.010  0.863
Co  0.495  0.990  0.137
Co  0.777  0.555  0.186
Co  0.223  0.445  0.814

***

The relative energies come out as *a* 0; *b* 111, with values in meV/atom.